(1)
An optimized crystal structure of OsWCl3. Source: Alexandria via LeMat-Bulk, functional PBE.

abc: 4.8597 4.8597 4.8597
angles: 90.00 90.00 90.00
With the nearest neighbours (Å) after each atom.
Space group Pm-3m (No. 221)
Symmetry-distinct sites (fractional):
Os1 0.0000 0.0000 0.0000 x1  12 Cl 3.44
W1 0.5000 0.5000 0.5000 x1  6 Cl 2.43
Cl1 0.0000 0.5000 0.5000 x3  2 W 2.43

Output
magnetic moment	2.29	μB per formula unit
formation energy without anion corrections	1.376	eV per atom

***

(2)
An optimized crystal structure of Os2WCl. Source: Alexandria via LeMat-Bulk, functional PBE.

abc: 6.2405 6.2405 6.2405
angles: 90.00 90.00 90.00
With the nearest neighbours (Å) after each atom.
Space group F-43m (No. 216)
Symmetry-distinct sites (fractional):
Os1 0.0000 0.0000 0.0000 x4  4 Cl 2.70, 4 Os 2.70
Os2 0.2500 0.2500 0.2500 x4  4 Os 2.70, 4 W 2.70
W1 0.0000 0.0000 0.5000 x4  4 Os 2.70, 4 Cl 2.70
Cl1 0.2500 0.2500 0.7500 x4  4 W 2.70, 4 Os 2.70

Output
magnetic moment	0.00	μB per formula unit
formation energy without anion corrections	1.063	eV per atom

***

(3)
An optimized crystal structure of OsW2Cl. Source: Alexandria via LeMat-Bulk, functional PBE.

abc: 2.9082 4.8764 9.0362
angles: 90.00 90.00 90.00
With the nearest neighbours (Å) after each atom.
Space group Cmmm (No. 65)
Symmetry-distinct sites (fractional):
Os1 0.0000 0.0000 0.0000 x2  4 W 2.66, 6 Os 2.84-2.91
W1 0.0000 0.5000 0.2465 x4  2 Os 2.66, 2 Cl 2.71, 6 W 2.84-2.91
Cl1 0.0000 0.0000 0.5000 x2  4 W 2.71, 6 Cl 2.84-2.91

Output
magnetic moment	0.00	μB per formula unit
formation energy without anion corrections	0.683	eV per atom

***

(4)
An optimized crystal structure of Os2WCl. Source: Alexandria via LeMat-Bulk, functional PBE.

abc: 2.8995 4.8177 9.0990
angles: 90.00 90.00 90.00
With the nearest neighbours (Å) after each atom.
Space group Cmmm (No. 65)
Symmetry-distinct sites (fractional):
Os1 0.0000 0.0000 0.2402 x4  2 W 2.62, 2 Cl 2.77, 6 Os 2.81-2.90
W1 0.0000 0.5000 0.0000 x2  4 Os 2.62, 6 W 2.81-2.90
Cl1 0.0000 0.5000 0.5000 x2  4 Os 2.77, 6 Cl 2.81-2.90

Output
magnetic moment	0.00	μB per formula unit
formation energy without anion corrections	0.765	eV per atom

***

(5)
An optimized crystal structure of OsW2Cl. Source: Alexandria via LeMat-Bulk, functional PBE.

abc: 5.7144 5.7144 10.3925
angles: 90.00 90.00 90.00
With the nearest neighbours (Å) after each atom.
Space group I-42d (No. 122)
Symmetry-distinct sites (fractional):
Os1 0.0000 0.0000 0.0000 x4  4 W 2.43
W1 0.2414 0.2500 0.6250 x8  2 Cl 2.37, 2 Os 2.43
Cl1 0.0000 0.0000 0.5000 x4  4 W 2.37

Output
magnetic moment	0.00	μB per formula unit
formation energy without anion corrections	1.335	eV per atom

***

(6)
An optimized crystal structure of Os2WCl. Source: Alexandria via LeMat-Bulk, functional PBE.

abc: 2.8023 2.8023 8.7551
angles: 90.00 90.00 90.00
With the nearest neighbours (Å) after each atom.
Space group P4mm (No. 99)
Symmetry-distinct sites (fractional):
Os1 0.0000 0.0000 0.0000 x1  8 Os 2.66-2.80
Os2 0.5000 0.5000 0.2033 x1  8 Os 2.66-2.80, 4 W 2.78
W1 0.0000 0.0000 0.4256 x1  4 Cl 2.58, 4 Os 2.78, 4 W 2.80
Cl1 0.5000 0.5000 0.6150 x1  4 W 2.58, 4 Cl 2.80

Output
magnetic moment	0.00	μB per formula unit
formation energy without anion corrections	0.582	eV per atom